Entry 1:
Computed, not measured: an optimized crystal structure of YCoIr3 at the GGA-PBE level of DFT.

a b c (Å): 4.9077 4.9077 4.9077
angles (deg): 90.00 90.00 90.00
Each line ends with the local moment (μB).
Positions (direct):
Ir 0.5000 0.0000 0.0000  -0.17
Ir 0.0000 0.0000 0.5000  0.02
Ir 0.0000 0.5000 0.0000  0.01
Y 0.0000 0.0000 0.0000  -0.02
Co 0.5000 0.5000 0.5000  -0.10

Energy   -5.491 eV/atom
Magnetization   0.22 μB/f.u.
ΔE_f   2.540 eV/atom
ΔE to the lowest computed polymorph   2.1087 eV per atom
Density   10.18 Mg/m³
Crystal system   cubic
SG   No. 221

Entry 2:
Computed, not measured: an optimized crystal structure of K3Li2BiF9 at the GGA-PBE level of DFT.

a b c (Å): 5.9145 5.9145 7.7387
angles (deg): 90.00 90.00 120.00
Each line ends with the local moment (μB).
Positions (direct):
F 0.8316 0.6632 0.6682  0.07
F 0.1684 0.3368 0.3318  0.07
F 0.1684 0.8316 0.3318  0.07
F 0.0000 0.5000 0.0000  0.01
F 0.5000 0.5000 0.0000  0.01
F 0.5000 0.0000 0.0000  0.01
F 0.3368 0.1684 0.6682  0.07
F 0.8316 0.1684 0.6682  0.07
F 0.6632 0.8316 0.3318  0.07
K 0.0000 0.0000 0.0000  0.00
K 0.3333 0.6667 0.7351  0.00
K 0.6667 0.3333 0.2649  0.00
Li 0.6667 0.3333 0.8823  0.00
Li 0.3333 0.6667 0.1177  0.00
Bi 0.0000 0.0000 0.5000  0.11

Energy   -4.449 eV/atom
Magnetization   0.63 μB/f.u.
Density   3.62 Mg/m³
Crystal system   trigonal
SG   No. 164
Energy relative to the elements, uncorrected   -2593 meV/atom

Entry 3:
Computed, not measured: an optimized crystal structure of NbPbCl6 at the GGA-PBE level of DFT.

a b c (Å): 6.6485 6.6482 7.1813
angles (deg): 62.42 62.42 60.00
Each line ends with the local moment (μB).
Positions (direct):
Cl 0.0551 0.3869 0.7696  -0.01
Cl 0.9449 0.6131 0.2304  -0.01
Cl 0.6131 0.2116 0.2304  -0.01
Cl 0.2116 0.9448 0.2304  -0.01
Cl 0.3869 0.7884 0.7696  -0.01
Cl 0.7884 0.0552 0.7696  -0.01
Nb 0.0000 0.0000 0.0000  0.83
Pb 0.5000 0.5000 0.5000  0.03

Energy   -4.270 eV/atom
Magnetization   1.00 μB/f.u.
ΔE to the lowest computed polymorph   0.0000 eV per atom
Density   3.67 Mg/m³
Crystal system   trigonal
SG   No. 148
Energy relative to the elements, uncorrected   -1162 meV/atom